[1]
TcBi2AsCl | PBE-GGA | relaxed

POSCAR file:
```
TcBi2AsCl
1.0
5.551 0.000 0.000
0.000 5.551 0.000
0.000 0.000 4.322
Tc Bi As Cl
1 2 1 1
Direct
0.000 0.000 0.000
0.000 0.500 0.500
0.500 0.000 0.500
0.500 0.500 0.000
0.000 0.000 0.500
```

Values from the calculation:
- formation energy without anion corrections (kJ/mol of formula units) = 513
- SG = P4/mmm

[2]
SrAg8Pd4 | PBE-GGA | relaxed

POSCAR file:
```
SrAg8Pd4
1.0
-4.707 4.707 2.783
4.707 -4.707 2.783
4.707 4.707 -2.783
Sr Ag Pd
1 8 4
Direct
0.000 0.000 0.000
0.000 0.348 0.348
0.000 0.652 0.652
0.277 0.500 0.777
0.348 0.000 0.348
0.500 0.277 0.777
0.500 0.723 0.223
0.652 0.000 0.652
0.723 0.500 0.223
0.000 0.000 0.500
0.000 0.500 0.000
0.500 0.000 0.000
0.500 0.500 0.500
```

Values from the calculation:
- SG = I4/mmm
- formation energy (meV/atom) = -159